Below is an optimized crystal structure of TlCo3Mo, with properties calculated at the GGA-PBE level.

Geometry as POSCAR:
```
TlCo3Mo
1.0
-2.6048 2.5913 -2.5697
-3.5168 -2.6257 0.9171
-0.9748 2.5483 3.5579
Tl Co Mo
1 3 1
Direct
0.5000 0.5000 0.5000
0.0000 0.5000 0.0000
0.0000 0.0000 0.5000
0.5000 0.0000 0.0000
0.0000 0.0000 0.0000
```

Results
The calculation puts the energy of formation at 128.5 kJ/mol of atoms.